SrRe: optimized geometry, PBE-GGA.

- ΔE to the lowest computed polymorph: 0.366 eV/atom
- Calculated volume: 182.8 Å³ per cell
- Magnetization: 0.00 μB per cell

Cell lengths 6.2268, 6.2268, 7.9607 Å; angles 83.14, 83.14, 36.64 degrees
Last column: nearest neighbours and their distance in Å.
Element x y z (fractional)
Re  0.7133  0.7133  0.5631  3 Re 2.47-2.49
Re  0.6696  0.6696  0.2656  3 Re 2.49-2.52
Sr  0.2362  0.2362  0.9007  4 Re 3.36-3.51, 1 Sr 3.64
Re  0.2688  0.2688  0.3818  4 Re 2.47-2.52
Sr  0.9905  0.9905  0.5758  6 Re 3.27-3.62, 1 Sr 3.50
Sr  0.9549  0.9549  0.1463  5 Re 3.34-3.43, 2 Sr 3.50-3.64